The following is a PBE calculation of a relaxed Li3HgS2 crystal, from Alexandria.

Properties
- uncorrected energy (eV per atom) = -3.200
- raw formation energy (eV per atom) = -0.817

Cell lengths 7.442, 7.442, 7.442 Å; angles 130.11, 72.42, 131.12 degrees
Element x y z (fractional)
Li1 0.018 0.750 0.268
Li2 0.250 0.250 0.000
Li3 0.482 0.750 0.732
Li4 0.518 0.250 0.268
Li5 0.750 0.750 0.000
Li6 0.982 0.250 0.732
Hg1 0.000 0.500 0.500
Hg2 0.500 0.000 0.500
S1 0.147 0.187 0.334
S2 0.353 0.687 0.040
S3 0.647 0.313 0.960
S4 0.853 0.813 0.666

---

The following is a PBE calculation of a relaxed LiHg2Sb2S6 crystal, from Alexandria.

Properties
- uncorrected energy (eV per atom) = -3.496
- raw formation energy (eV per atom) = -0.267

Cell lengths 6.719, 6.719, 7.118 Å; angles 101.68, 101.68, 119.53 degrees
Element x y z (fractional)
Li1 0.000 0.000 0.000
Hg1 0.165 0.835 0.500
Hg2 0.835 0.165 0.500
Sb1 0.331 0.669 0.000
Sb2 0.669 0.331 0.000
S1 0.082 0.433 0.227
S2 0.219 0.219 0.759
S3 0.433 0.082 0.227
S4 0.567 0.918 0.773
S5 0.781 0.781 0.241
S6 0.918 0.567 0.773

---

The following is a PBE calculation of a relaxed LiSc2HgS crystal, from Alexandria.

Properties
- uncorrected energy (eV per atom) = -4.585
- raw formation energy (eV per atom) = -0.784

Cell lengths 4.900, 4.900, 4.323 Å; angles 90.00, 90.00, 90.00 degrees
Element x y z (fractional)
Li1 0.000 0.000 0.000
Sc1 0.000 0.500 0.500
Sc2 0.500 0.000 0.500
Hg1 0.500 0.500 0.000
S1 0.000 0.000 0.500

---

The following is a PBE calculation of a relaxed Li2SnHgS4 crystal, from Alexandria.

Properties
- uncorrected energy (eV per atom) = -3.693
- raw formation energy (eV per atom) = -0.612

Cell lengths 7.618, 7.618, 7.468 Å; angles 117.87, 117.87, 93.38 degrees
Element x y z (fractional)
Li1 0.000 0.000 0.000
Li2 0.000 0.000 0.500
Li3 0.000 0.500 0.000
Li4 0.500 0.000 0.500
Sn1 0.500 0.500 0.000
Sn2 0.500 0.500 0.500
Hg1 0.000 0.500 0.500
Hg2 0.500 0.000 0.000
S1 0.243 0.271 0.014
S2 0.249 0.711 0.477
S3 0.271 0.243 0.514
S4 0.289 0.751 0.023
S5 0.711 0.249 0.977
S6 0.729 0.757 0.486
S7 0.751 0.289 0.523
S8 0.757 0.729 0.986

---

The following is a PBE calculation of a relaxed Sr2LiHgS crystal, from Alexandria.

Properties
- uncorrected energy (eV per atom) = -2.852
- raw formation energy (eV per atom) = -0.911

Cell lengths 5.841, 5.841, 4.549 Å; angles 90.00, 90.00, 90.00 degrees
Element x y z (fractional)
Sr1 0.000 0.500 0.000
Sr2 0.500 0.000 0.000
Li1 0.000 0.000 0.500
Hg1 0.500 0.500 0.500
S1 0.000 0.000 0.000

---

The following is a PBE calculation of a relaxed SrLi2HgS crystal, from Alexandria.

Properties
- uncorrected energy (eV per atom) = -1.256
- raw formation energy (eV per atom) = 0.732

Cell lengths 6.035, 6.035, 5.962 Å; angles 90.00, 90.00, 90.00 degrees
Element x y z (fractional)
Sr1 0.000 0.000 0.000
Li1 0.000 0.500 0.000
Li2 0.500 0.000 0.000
Hg1 0.000 0.000 0.500
S1 0.500 0.500 0.500

---

The following is a PBE calculation of a relaxed Li2HgTeS4 crystal, from Alexandria.

Properties
- uncorrected energy (eV per atom) = -3.418
- raw formation energy (eV per atom) = -0.446

Cell lengths 7.684, 7.684, 7.569 Å; angles 117.55, 117.55, 93.72 degrees
Element x y z (fractional)
Li1 0.000 0.000 0.000
Li2 0.000 0.000 0.500
Li3 0.000 0.500 0.000
Li4 0.500 0.000 0.500
Hg1 0.000 0.500 0.500
Hg2 0.500 0.000 0.000
Te1 0.500 0.500 0.000
Te2 0.500 0.500 0.500
S1 0.229 0.711 0.468
S2 0.234 0.274 0.014
S3 0.274 0.234 0.514
S4 0.289 0.771 0.032
S5 0.711 0.229 0.968
S6 0.726 0.766 0.486
S7 0.766 0.726 0.986
S8 0.771 0.289 0.532

---

The following is a PBE calculation of a relaxed Li2HgTeS crystal, from Alexandria.

Properties
- uncorrected energy (eV per atom) = -2.546
- raw formation energy (eV per atom) = -0.267

Cell lengths 5.274, 5.274, 5.322 Å; angles 90.00, 90.00, 90.00 degrees
Element x y z (fractional)
Li1 0.000 0.500 0.000
Li2 0.500 0.000 0.000
Hg1 0.000 0.000 0.500
Te1 0.500 0.500 0.000
S1 0.500 0.500 0.500